Record 1
Compound: RePF9
Source: OQMD via LeMat-Bulk
Functional: GGA-PBE
Structure: optimized geometry

Computed properties:
Total DFT energy (no corrections) in eV/atom: -5.231

Cell: 4.843 6.759 7.394 Å, 99.21 94.31 93.23°
Fractional positions:
F1 0.492 0.249 0.085
F2 0.181 0.921 0.115
F3 0.844 0.602 0.122
F4 0.300 0.638 0.210
F5 0.999 0.271 0.211
F6 0.761 0.921 0.234
F7 0.415 0.140 0.426
F8 0.077 0.816 0.432
F9 0.738 0.497 0.437
F10 0.262 0.503 0.563
F11 0.923 0.184 0.568
F12 0.585 0.860 0.574
F13 0.239 0.079 0.766
F14 0.001 0.729 0.789
F15 0.700 0.362 0.790
F16 0.156 0.398 0.878
F17 0.819 0.079 0.885
F18 0.508 0.751 0.915
P1 0.014 0.790 0.222
P2 0.986 0.210 0.778
Re1 0.363 0.365 0.310
Re2 0.637 0.635 0.690


Record 2
Compound: PaF
Source: OQMD via LeMat-Bulk
Functional: GGA-PBE
Structure: optimized geometry

Computed properties:
ΔE to the lowest computed polymorph in meV/atom: 112.6

Cell: 3.619 3.619 3.619 Å, 60.00 60.00 60.00°
Each line ends with the local moment (μB).
Fractional positions:
F1 0.000 0.000 0.000  0.02
Pa1 0.500 0.500 0.500  1.12


Record 3
Compound: PaF
Source: OQMD via LeMat-Bulk
Functional: GGA-PBE
Structure: optimized geometry

Computed properties:
ΔE to the lowest computed polymorph in meV/atom: 0.0

Cell: 3.846 3.846 3.846 Å, 60.00 60.00 60.00°
Fractional positions:
F1 0.000 0.000 0.000
Pa1 0.250 0.250 0.250


Record 4
Compound: PaF4
Source: OQMD via LeMat-Bulk
Functional: GGA-PBE
Structure: optimized geometry

Computed properties:
Total DFT energy (no corrections) in eV/atom: -7.152

Cell: 4.966 4.966 5.218 Å, 90.00 90.00 90.00°
Each line ends with the local moment (μB).
Fractional positions:
F1 0.649 0.234 0.163  -0.01
F2 0.351 0.766 0.163  -0.01
F3 0.149 0.266 0.337  -0.01
F4 0.851 0.734 0.337  -0.01
F5 0.734 0.149 0.663  -0.01
F6 0.266 0.851 0.663  -0.01
F7 0.234 0.351 0.837  -0.01
F8 0.766 0.649 0.837  -0.01
Pa1 0.000 0.000 0.000  1.01
Pa2 0.500 0.500 0.500  1.01


> Which formula does entry 3 have?

PaF